#one
ZrTiCd2: relaxed, PBE.

```
data_ZrTiCd2
_chemical_formula_sum 'Zr2 Ti2 Cd4'
_symmetry_space_group_name_H-M 'P m m a'
_symmetry_Int_Tables_number 51
_cell_length_a 4.3476
_cell_length_b 4.1480
_cell_length_c 9.2002
_cell_angle_alpha 90.00
_cell_angle_beta 90.00
_cell_angle_gamma 90.00
loop_
_symmetry_equiv_pos_as_xyz
'x,y,z'
'-x,-y,-z'
'-x+1/2,-y,z'
'x+1/2,y,-z'
'x+1/2,-y,-z'
'-x+1/2,y,z'
'-x,y,-z'
'x,-y,z'
loop_
_atom_site_label
_atom_site_type_symbol
_atom_site_fract_x
_atom_site_fract_y
_atom_site_fract_z
Zr1 Zr 0.2500 0.0000 0.1202
Ti1 Ti 0.2500 0.5000 0.8890
Cd1 Cd 0.2500 0.0000 0.6276
Cd2 Cd 0.2500 0.5000 0.3725
```

Properties
- density (Mg/m³) = 7.28
- Fermi-level density of states (states/eV per atom) = 0.732
- total magnetization (μB/f.u.) = 0.00

---

#two
ZrTiCd2: relaxed, PBE.

```
data_ZrTiCd2
_chemical_formula_sum 'Zr1 Ti1 Cd2'
_symmetry_space_group_name_H-M 'P 4/m m m'
_symmetry_Int_Tables_number 123
_symmetry_space_group_name_Hall '-P 4 2'
_cell_length_a 3.4070
_cell_length_b 3.4070
_cell_length_c 6.9945
_cell_angle_alpha 90.00
_cell_angle_beta 90.00
_cell_angle_gamma 90.00
loop_
_atom_site_label
_atom_site_type_symbol
_atom_site_fract_x
_atom_site_fract_y
_atom_site_fract_z
Zr1 Zr 0.0000 0.0000 0.0000
Ti1 Ti 0.0000 0.0000 0.5000
Cd1 Cd 0.5000 0.5000 0.2693
```

Properties
- density (Mg/m³) = 7.44
- Fermi-level density of states (states/eV per atom) = 0.258
- total magnetization (μB/f.u.) = 0.00

---

#three
ZrTiCd2: relaxed, PBE.

```
data_ZrTiCd2
_chemical_formula_sum 'Zr4 Ti4 Cd8'
_symmetry_space_group_name_H-M 'I -4 2 d'
_symmetry_Int_Tables_number 122
_symmetry_space_group_name_Hall 'I -4 2bw'
_cell_length_a 7.9539
_cell_length_b 7.9539
_cell_length_c 5.5116
_cell_angle_alpha 90.00
_cell_angle_beta 90.00
_cell_angle_gamma 90.00
loop_
_atom_site_label
_atom_site_type_symbol
_atom_site_fract_x
_atom_site_fract_y
_atom_site_fract_z
Zr1 Zr 0.0000 0.0000 0.0000
Ti1 Ti 0.0000 0.0000 0.5000
Cd1 Cd 0.2299 0.2500 0.6250
```

Properties
- density (Mg/m³) = 6.93
- Fermi-level density of states (states/eV per atom) = 1.249
- total magnetization (μB/f.u.) = 0.00

---

#four
ZrTiCd2: relaxed, PBE.

```
data_ZrTiCd2
_chemical_formula_sum 'Zr3 Ti3 Cd6'
_symmetry_space_group_name_H-M 'R -3 m'
_symmetry_Int_Tables_number 166
_symmetry_space_group_name_Hall '-R 3 2"'
_cell_length_a 3.0326
_cell_length_b 3.0326
_cell_length_c 31.1137
_cell_angle_alpha 90.00
_cell_angle_beta 90.00
_cell_angle_gamma 120.00
loop_
_atom_site_label
_atom_site_type_symbol
_atom_site_fract_x
_atom_site_fract_y
_atom_site_fract_z
Zr1 Zr 0.0000 0.0000 0.0000
Ti1 Ti 0.0000 0.0000 0.5000
Cd1 Cd 0.0000 0.0000 0.2467
```

Properties
- density (Mg/m³) = 7.32
- Fermi-level density of states (states/eV per atom) = 1.269
- total magnetization (μB/f.u.) = 0.00

---

It is #three that is the least stable of them.

---

#one
Zr3TiCd: relaxed, PBE.

```
data_Zr3TiCd
_chemical_formula_sum 'Zr12 Ti4 Cd4'
_symmetry_space_group_name_H-M 'C 1 2/m 1'
_symmetry_Int_Tables_number 12
_cell_length_a 19.4617
_cell_length_b 3.1441
_cell_length_c 7.2938
_cell_angle_alpha 90.00
_cell_angle_beta 103.96
_cell_angle_gamma 90.00
loop_
_symmetry_equiv_pos_as_xyz
'x,y,z'
'-x,-y,-z'
'-x,y,-z'
'x,-y,z'
'x+1/2,y+1/2,z'
'-x+1/2,-y+1/2,-z'
'-x+1/2,y+1/2,-z'
'x+1/2,-y+1/2,z'
loop_
_atom_site_label
_atom_site_type_symbol
_atom_site_fract_x
_atom_site_fract_y
_atom_site_fract_z
Zr1 Zr 0.0903 0.0000 0.0892
Zr2 Zr 0.1205 0.0000 0.5118
Zr3 Zr 0.1878 0.5000 0.8775
Ti1 Ti 0.2165 0.5000 0.3271
Cd1 Cd 0.0184 0.5000 0.7180
```

Properties
- density (Mg/m³) = 6.65
- Fermi-level density of states (states/eV per atom) = 1.063
- total magnetization (μB/f.u.) = 0.00

---

#two
Zr3TiCd: relaxed, PBE.

```
data_Zr3TiCd
_chemical_formula_sum 'Zr3 Ti1 Cd1'
_symmetry_space_group_name_H-M 'P m -3 m'
_symmetry_Int_Tables_number 221
_symmetry_space_group_name_Hall '-P 4 2 3'
_cell_length_a 4.9671
_cell_length_b 4.9671
_cell_length_c 4.9671
_cell_angle_alpha 90.00
_cell_angle_beta 90.00
_cell_angle_gamma 90.00
loop_
_atom_site_label
_atom_site_type_symbol
_atom_site_fract_x
_atom_site_fract_y
_atom_site_fract_z
Zr1 Zr 0.0000 0.0000 0.5000
Ti1 Ti 0.0000 0.0000 0.0000
Cd1 Cd 0.5000 0.5000 0.5000
```

Properties
- density (Mg/m³) = 5.88
- Fermi-level density of states (states/eV per atom) = 1.610
- total magnetization (μB/f.u.) = 0.00

---

#three
Zr3TiCd: relaxed, PBE.

```
data_Zr3TiCd
_chemical_formula_sum 'Zr3 Ti1 Cd1'
_symmetry_space_group_name_H-M 'P m -3 m'
_symmetry_Int_Tables_number 221
_symmetry_space_group_name_Hall '-P 4 2 3'
_cell_length_a 5.2188
_cell_length_b 5.2188
_cell_length_c 5.2188
_cell_angle_alpha 90.00
_cell_angle_beta 90.00
_cell_angle_gamma 90.00
loop_
_atom_site_label
_atom_site_type_symbol
_atom_site_fract_x
_atom_site_fract_y
_atom_site_fract_z
Zr1 Zr 0.0000 0.0000 0.5000
Ti1 Ti 0.5000 0.5000 0.5000
Cd1 Cd 0.0000 0.0000 0.0000
```

Properties
- density (Mg/m³) = 5.07
- Fermi-level density of states (states/eV per atom) = 1.257
- total magnetization (μB/f.u.) = 3.98

---

#four
Zr3TiCd: relaxed, PBE.

```
data_Zr3TiCd
_chemical_formula_sum 'Zr18 Ti6 Cd6'
_symmetry_space_group_name_H-M 'R -3'
_symmetry_Int_Tables_number 148
_symmetry_space_group_name_Hall '-R 3'
_cell_length_a 5.3403
_cell_length_b 5.3403
_cell_length_c 29.6702
_cell_angle_alpha 90.00
_cell_angle_beta 90.00
_cell_angle_gamma 120.00
loop_
_atom_site_label
_atom_site_type_symbol
_atom_site_fract_x
_atom_site_fract_y
_atom_site_fract_z
Zr1 Zr 0.0027 0.6503 0.0887
Ti1 Ti 0.0000 0.0000 0.1642
Cd1 Cd 0.0000 0.0000 0.3329
```

Properties
- density (Mg/m³) = 5.90
- Fermi-level density of states (states/eV per atom) = 1.400
- total magnetization (μB/f.u.) = 0.00

---

It is #three that is the least stable of them.

---

#one
ZrTi2Cd2: relaxed, PBE.

```
data_ZrTi2Cd2
_chemical_formula_sum 'Zr2 Ti4 Cd4'
_symmetry_space_group_name_H-M 'P 4/m b m'
_symmetry_Int_Tables_number 127
_symmetry_space_group_name_Hall '-P 4 2ab'
_cell_length_a 7.9694
_cell_length_b 7.9694
_cell_length_c 3.1828
_cell_angle_alpha 90.00
_cell_angle_beta 90.00
_cell_angle_gamma 90.00
loop_
_atom_site_label
_atom_site_type_symbol
_atom_site_fract_x
_atom_site_fract_y
_atom_site_fract_z
Zr1 Zr 0.0000 0.0000 0.0000
Ti1 Ti 0.1745 0.3255 0.5000
Cd1 Cd 0.1263 0.6263 0.0000
```

Properties
- density (Mg/m³) = 6.77
- Fermi-level density of states (states/eV per atom) = 1.643
- total magnetization (μB/f.u.) = 0.00

---

#two
ZrTi2Cd2: relaxed, PBE.

```
data_ZrTi2Cd2
_chemical_formula_sum 'Zr2 Ti4 Cd4'
_symmetry_space_group_name_H-M 'C m m m'
_symmetry_Int_Tables_number 65
_symmetry_space_group_name_Hall '-C 2 2'
_cell_length_a 3.0011
_cell_length_b 22.7360
_cell_length_c 3.0194
_cell_angle_alpha 90.00
_cell_angle_beta 90.00
_cell_angle_gamma 90.00
loop_
_atom_site_label
_atom_site_type_symbol
_atom_site_fract_x
_atom_site_fract_y
_atom_site_fract_z
Zr1 Zr 0.0000 0.0000 0.0000
Ti1 Ti 0.0000 0.4049 0.5000
Cd1 Cd 0.0000 0.1921 0.0000
```

Properties
- density (Mg/m³) = 6.64
- Fermi-level density of states (states/eV per atom) = 0.927
- total magnetization (μB/f.u.) = 0.00

---

It is #one that is the least stable of them.

---

#one
Tl4Cd5: relaxed, PBE.

```
data_Tl4Cd5
_chemical_formula_sum 'Tl8 Cd10'
_symmetry_space_group_name_H-M 'I 4/m m m'
_symmetry_Int_Tables_number 139
_symmetry_space_group_name_Hall '-I 4 2'
_cell_length_a 9.8889
_cell_length_b 9.8889
_cell_length_c 4.9292
_cell_angle_alpha 90.00
_cell_angle_beta 90.00
_cell_angle_gamma 90.00
loop_
_atom_site_label
_atom_site_type_symbol
_atom_site_fract_x
_atom_site_fract_y
_atom_site_fract_z
Tl1 Tl 0.0000 0.3226 0.0000
Cd1 Cd 0.0000 0.0000 0.0000
Cd2 Cd 0.1608 0.1608 0.5000
```

Properties
- density (Mg/m³) = 9.51
- Fermi-level density of states (states/eV per atom) = 0.441
- total magnetization (μB/f.u.) = 0.00

---

#two
Tl4Cd5: relaxed, PBE.

```
data_Tl4Cd5
_chemical_formula_sum 'Tl8 Cd10'
_symmetry_space_group_name_H-M 'P 63/m c m'
_symmetry_Int_Tables_number 193
_symmetry_space_group_name_Hall '-P 6c 2'
_cell_length_a 9.4691
_cell_length_b 9.4691
_cell_length_c 6.3654
_cell_angle_alpha 90.00
_cell_angle_beta 90.00
_cell_angle_gamma 120.00
loop_
_atom_site_label
_atom_site_type_symbol
_atom_site_fract_x
_atom_site_fract_y
_atom_site_fract_z
Tl1 Tl 0.0000 0.0000 0.0000
Tl2 Tl 0.0000 0.3472 0.2500
Cd1 Cd 0.0000 0.3279 0.7500
Cd2 Cd 0.3333 0.6667 0.0000
```

Properties
- density (Mg/m³) = 9.27
- Fermi-level density of states (states/eV per atom) = 0.536
- total magnetization (μB/f.u.) = 0.00

---

It is #two that is the least stable of them.

---

#one
Tl5Cd3: relaxed, PBE.

```
data_Tl5Cd3
_chemical_formula_sum 'Tl20 Cd12'
_symmetry_space_group_name_H-M 'C m c m'
_symmetry_Int_Tables_number 63
_symmetry_space_group_name_Hall '-C 2c 2'
_cell_length_a 16.0371
_cell_length_b 9.2499
_cell_length_c 6.2428
_cell_angle_alpha 90.00
_cell_angle_beta 90.00
_cell_angle_gamma 90.00
loop_
_atom_site_label
_atom_site_type_symbol
_atom_site_fract_x
_atom_site_fract_y
_atom_site_fract_z
Tl1 Tl 0.0000 0.2293 0.2500
Tl2 Tl 0.1147 0.1147 0.7500
Tl3 Tl 0.1666 0.5000 0.0000
Cd1 Cd 0.0000 0.4052 0.7500
Cd2 Cd 0.2026 0.2025 0.2500
```

Properties
- density (Mg/m³) = 9.75
- Fermi-level density of states (states/eV per atom) = 0.549
- total magnetization (μB/f.u.) = 0.00

---

#two
Tl5Cd3: relaxed, PBE.

```
data_Tl5Cd3
_chemical_formula_sum 'Tl40 Cd24'
_symmetry_space_group_name_H-M 'F m m m'
_symmetry_Int_Tables_number 69
_symmetry_space_group_name_Hall '-F 2 2'
_cell_length_a 6.0845
_cell_length_b 16.8887
_cell_length_c 17.8457
_cell_angle_alpha 90.00
_cell_angle_beta 90.00
_cell_angle_gamma 90.00
loop_
_atom_site_label
_atom_site_type_symbol
_atom_site_fract_x
_atom_site_fract_y
_atom_site_fract_z
Tl1 Tl 0.0000 0.0996 0.1746
Tl2 Tl 0.0000 0.1765 0.4000
Tl3 Tl 0.2487 0.0000 0.5000
Cd1 Cd 0.0000 0.0000 0.3291
Cd2 Cd 0.0000 0.1690 0.0000
Cd3 Cd 0.2500 0.2500 0.2500
```

Properties
- density (Mg/m³) = 9.85
- Fermi-level density of states (states/eV per atom) = 0.429
- total magnetization (μB/f.u.) = 0.00

---

It is #one that is the least stable of them.

---

#one
TlCd4: relaxed, PBE.

```
data_TlCd4
_chemical_formula_sum 'Tl2 Cd8'
_symmetry_space_group_name_H-M 'P -4 21 c'
_symmetry_Int_Tables_number 114
_cell_length_a 5.6501
_cell_length_b 5.6501
_cell_length_c 8.3689
_cell_angle_alpha 90.00
_cell_angle_beta 90.00
_cell_angle_gamma 90.00
loop_
_symmetry_equiv_pos_as_xyz
'x,y,z'
'y,-x,-z'
'-x,-y,z'
'-y,x,-z'
'x+1/2,-y+1/2,-z+1/2'
'y+1/2,x+1/2,z+1/2'
'-x+1/2,y+1/2,-z+1/2'
'-y+1/2,-x+1/2,z+1/2'
loop_
_atom_site_label
_atom_site_type_symbol
_atom_site_fract_x
_atom_site_fract_y
_atom_site_fract_z
Tl1 Tl 0.0000 0.0000 0.0000
Cd1 Cd 0.0588 0.2509 0.3504
```

Properties
- density (Mg/m³) = 8.13
- Fermi-level density of states (states/eV per atom) = 0.237
- total magnetization (μB/f.u.) = 0.00

---

#two
TlCd4: relaxed, PBE.

```
data_TlCd4
_chemical_formula_sum 'Tl2 Cd8'
_symmetry_space_group_name_H-M 'I 4/m m m'
_symmetry_Int_Tables_number 139
_symmetry_space_group_name_Hall '-I 4 2'
_cell_length_a 4.3438
_cell_length_b 4.3438
_cell_length_c 14.0532
_cell_angle_alpha 90.00
_cell_angle_beta 90.00
_cell_angle_gamma 90.00
loop_
_atom_site_label
_atom_site_type_symbol
_atom_site_fract_x
_atom_site_fract_y
_atom_site_fract_z
Tl1 Tl 0.0000 0.0000 0.0000
Cd1 Cd 0.0000 0.0000 0.3987
Cd2 Cd 0.0000 0.5000 0.2500
```

Properties
- density (Mg/m³) = 8.19
- Fermi-level density of states (states/eV per atom) = 0.447
- total magnetization (μB/f.u.) = 0.00

---

It is #one that is the least stable of them.

---

#one
TlCd4: relaxed, PBE.

```
data_TlCd4
_chemical_formula_sum 'Tl2 Cd8'
_symmetry_space_group_name_H-M 'I 4/m'
_symmetry_Int_Tables_number 87
_symmetry_space_group_name_Hall '-I 4'
_cell_length_a 9.0195
_cell_length_b 9.0195
_cell_length_c 3.0649
_cell_angle_alpha 90.00
_cell_angle_beta 90.00
_cell_angle_gamma 90.00
loop_
_atom_site_label
_atom_site_type_symbol
_atom_site_fract_x
_atom_site_fract_y
_atom_site_fract_z
Tl1 Tl 0.0000 0.0000 0.0000
Cd1 Cd 0.1322 0.3349 0.5000
```

Properties
- density (Mg/m³) = 8.71
- Fermi-level density of states (states/eV per atom) = 0.228
- total magnetization (μB/f.u.) = 0.00

---

#two
TlCd4: relaxed, PBE.

```
data_TlCd4
_chemical_formula_sum 'Tl2 Cd8'
_symmetry_space_group_name_H-M 'I m m m'
_symmetry_Int_Tables_number 71
_symmetry_space_group_name_Hall '-I 2 2'
_cell_length_a 3.3255
_cell_length_b 4.4624
_cell_length_c 16.5886
_cell_angle_alpha 90.00
_cell_angle_beta 90.00
_cell_angle_gamma 90.00
loop_
_atom_site_label
_atom_site_type_symbol
_atom_site_fract_x
_atom_site_fract_y
_atom_site_fract_z
Tl1 Tl 0.0000 0.0000 0.0000
Cd1 Cd 0.0000 0.0000 0.2019
Cd2 Cd 0.0000 0.0000 0.3903
```

Properties
- density (Mg/m³) = 8.82
- Fermi-level density of states (states/eV per atom) = 0.375
- total magnetization (μB/f.u.) = 0.00

---

#three
TlCd4: relaxed, PBE.

```
data_TlCd4
_chemical_formula_sum 'Tl1 Cd4'
_symmetry_space_group_name_H-M 'P m -3 m'
_symmetry_Int_Tables_number 221
_symmetry_space_group_name_Hall '-P 4 2 3'
_cell_length_a 5.7239
_cell_length_b 5.7239
_cell_length_c 5.7239
_cell_angle_alpha 90.00
_cell_angle_beta 90.00
_cell_angle_gamma 90.00
loop_
_atom_site_label
_atom_site_type_symbol
_atom_site_fract_x
_atom_site_fract_y
_atom_site_fract_z
Tl1 Tl 0.0000 0.0000 0.0000
Cd1 Cd 0.0000 0.0000 0.5000
Cd2 Cd 0.5000 0.5000 0.5000
```

Properties
- density (Mg/m³) = 5.79
- Fermi-level density of states (states/eV per atom) = 0.310
- total magnetization (μB/f.u.) = 0.00

---

It is #three that is the least stable of them.

---

#one
TlCd7: relaxed, PBE.

```
data_TlCd7
_chemical_formula_sum 'Tl4 Cd28'
_symmetry_space_group_name_H-M 'F m -3 m'
_symmetry_Int_Tables_number 225
_symmetry_space_group_name_Hall '-F 4 2 3'
_cell_length_a 9.1439
_cell_length_b 9.1439
_cell_length_c 9.1439
_cell_angle_alpha 90.00
_cell_angle_beta 90.00
_cell_angle_gamma 90.00
loop_
_atom_site_label
_atom_site_type_symbol
_atom_site_fract_x
_atom_site_fract_y
_atom_site_fract_z
Tl1 Tl 0.0000 0.0000 0.0000
Cd1 Cd 0.0000 0.0000 0.5000
Cd2 Cd 0.0000 0.2500 0.2500
```

Properties
- density (Mg/m³) = 8.61
- Fermi-level density of states (states/eV per atom) = 0.294
- total magnetization (μB/f.u.) = 0.00

---

#two
TlCd7: relaxed, PBE.

```
data_TlCd7
_chemical_formula_sum 'Tl2 Cd14'
_symmetry_space_group_name_H-M 'I 4/m m m'
_symmetry_Int_Tables_number 139
_symmetry_space_group_name_Hall '-I 4 2'
_cell_length_a 4.5244
_cell_length_b 4.5244
_cell_length_c 18.5761
_cell_angle_alpha 90.00
_cell_angle_beta 90.00
_cell_angle_gamma 90.00
loop_
_atom_site_label
_atom_site_type_symbol
_atom_site_fract_x
_atom_site_fract_y
_atom_site_fract_z
Tl1 Tl 0.0000 0.0000 0.0000
Cd1 Cd 0.0000 0.0000 0.2489
Cd2 Cd 0.0000 0.0000 0.5000
Cd3 Cd 0.0000 0.5000 0.1302
```

Properties
- density (Mg/m³) = 8.66
- Fermi-level density of states (states/eV per atom) = 0.317
- total magnetization (μB/f.u.) = 0.00

---

It is #one that is the least stable of them.